VASP calculation (PBE) on crystalline PuUNi at its relaxed geometry.

Results
**ΔH_f (0 K)**: 0.10 eV/atom
**Excess energy over the best structure of this formula in the dataset**: 100 meV/atom

abc: 3.9998 3.4667 7.5172
angles: 90.00 105.43 90.00
With the nearest neighbours (Å) after each atom.
Fractional positions:
Ni1 0.2604 0.2500 0.5208  4 Ni 2.66, 4 U 2.70-2.73
Ni2 0.7396 0.7500 0.4792  4 Ni 2.66, 4 U 2.70-2.73
U1 0.1148 0.7500 0.2297  4 Ni 2.70-2.73, 4 Pu 2.78
U2 0.8852 0.2500 0.7703  4 Ni 2.70-2.73, 4 Pu 2.78
Pu1 0.4441 0.7500 0.8882  2 Pu 2.37
Pu2 0.5559 0.2500 0.1118  2 Pu 2.37